Entry from Alexandria: crystalline Sr3NiB2O6 at its relaxed geometry (GGA+U).

Unit cell a=5.268 b=5.268 c=7.124 alpha=90.00 beta=90.00 gamma=120.00
Last column: magnetic moment on the atom in μB.
Fractional coordinates of all 12 atoms:
B1 0.333 0.667 0.287  0.00
B2 0.667 0.333 0.713  0.00
Sr1 0.333 0.667 0.693  -0.02
Sr2 0.000 0.000 0.000  -0.03
Sr3 0.667 0.333 0.307  -0.02
O1 0.360 0.180 0.695  0.01
O2 0.180 0.820 0.305  0.01
O3 0.820 0.180 0.695  0.01
O4 0.820 0.640 0.695  0.01
O5 0.640 0.820 0.305  0.01
O6 0.180 0.360 0.305  0.01
Ni1 0.000 0.000 0.500  1.60

Values from the calculation:
For the magnetization, the calculation gives 1.23 μB/cell. The calculated total energy comes out at -77.11 eV for the cell shown. The space group is P-3m1.